This record from Alexandria describes KNi2Au2O6 after structural relaxation. The functional is PBE with a Hubbard U.

Values from the calculation:
Final energy ... -4.179 eV/atom
Magnetization ... 5.04 μB/f.u.
V ... 17.8 Å³/atom
DOS(E_F) ... 1.11 states/eV/f.u.
Space group ... P-1, No. 2

Unit cell a=6.453 b=8.169 c=7.900 alpha=135.75 beta=122.39 gamma=42.34
Element x y z (fractional)
K: 0.500 0.000 0.500
Ni: 0.746 0.503 0.852
Ni: 0.254 0.497 0.148
Au: 0.374 0.779 0.632
Au: 0.626 0.221 0.368
O: 0.813 0.781 0.177
O: 0.524 0.441 0.889
O: 0.988 0.083 0.112
O: 0.476 0.559 0.111
O: 0.012 0.917 0.888
O: 0.187 0.219 0.823